[1]
# Ti2IBr3 PBE relaxed
# Energy relative to the lowest polymorph listed for this composition = 22 meV/atom
# Calculated volume = 409.86 Å³ per cell
# Formation energy without anion corrections = -507 kJ/mol of formula units
# Final energy = -4.6023 eV per atom
data_Ti2IBr3
_chemical_formula_sum 'Ti4 I2 Br6'
_symmetry_space_group_name_H-M 'P 1 21/m 1'
_symmetry_Int_Tables_number 11
_cell_length_a 7.550
_cell_length_b 3.554
_cell_length_c 15.298
_cell_angle_alpha 90.00
_cell_angle_beta 92.98
_cell_angle_gamma 90.00
loop_
_symmetry_equiv_pos_as_xyz
'x,y,z'
'-x,-y,-z'
'-x,y+1/2,-z'
'x,-y+1/2,z'
loop_
_atom_site_label
_atom_site_fract_x
_atom_site_fract_y
_atom_site_fract_z
_atom_site_occupancy
Ti1 0.039 0.250 0.427 1
Ti2 0.448 0.750 0.933 1
I1 0.245 0.250 0.580 1
Br1 0.192 0.750 0.833 1
Br2 0.220 0.750 0.345 1
Br3 0.307 0.750 0.084 1

***

[2]
# TiI2Br PBE relaxed
# Energy relative to the lowest polymorph listed for this composition = 0 meV/atom
# Calculated volume = 294.85 Å³ per cell
# Formation energy without anion corrections = -325 kJ/mol of formula units
# Final energy = -4.0093 eV per atom
data_TiI2Br
_chemical_formula_sum 'Ti2 I4 Br2'
_symmetry_space_group_name_H-M 'I m m m'
_symmetry_Int_Tables_number 71
_symmetry_space_group_name_Hall '-I 2 2'
_cell_length_a 3.938
_cell_length_b 5.125
_cell_length_c 14.610
_cell_angle_alpha 90.00
_cell_angle_beta 90.00
_cell_angle_gamma 90.00
loop_
_atom_site_label
_atom_site_fract_x
_atom_site_fract_y
_atom_site_fract_z
_atom_site_occupancy
Ti1 0.000 0.000 0.000 1
I1 0.000 0.500 0.362 1
Br1 0.000 0.500 0.000 1

***

[3]
# TiIBr PBE relaxed
# Energy relative to the lowest polymorph listed for this composition = 0 meV/atom
# Calculated volume = 97.06 Å³ per cell
# Formation energy without anion corrections = -238 kJ/mol of formula units
# Final energy = -4.5271 eV per atom
data_TiIBr
_chemical_formula_sum 'Ti1 I1 Br1'
_symmetry_space_group_name_H-M 'P 3 m 1'
_symmetry_Int_Tables_number 156
_cell_length_a 3.9091
_cell_length_b 3.9091
_cell_length_c 7.3342
_cell_angle_alpha 90.00
_cell_angle_beta 90.00
_cell_angle_gamma 120.00
loop_
_symmetry_equiv_pos_as_xyz
'x,y,z'
'-y,x-y,z'
'-x+y,-x,z'
'-y,-x,z'
'-x+y,y,z'
'x,x-y,z'
loop_
_atom_site_label
_atom_site_fract_x
_atom_site_fract_y
_atom_site_fract_z
_atom_site_occupancy
Ti1 0.0000 0.0000 0.0000 1
I1 0.3333 0.6667 0.7600 1
Br1 0.6667 0.3333 0.2081 1

***

[4]
# Ti3I2Br4 PBE relaxed
# Calculated volume = 315.06 Å³ per cell
# Formation energy without anion corrections = -802 kJ/mol of formula units
# Final energy = -4.6427 eV per atom
data_Ti3I2Br4
_chemical_formula_sum 'Ti3 I2 Br4'
_symmetry_space_group_name_H-M 'P -6 m 2'
_symmetry_Int_Tables_number 187
_symmetry_space_group_name_Hall 'P -6 2'
_cell_length_a 3.5705
_cell_length_b 3.5705
_cell_length_c 28.5363
_cell_angle_alpha 90.00
_cell_angle_beta 90.00
_cell_angle_gamma 120.00
loop_
_atom_site_label
_atom_site_fract_x
_atom_site_fract_y
_atom_site_fract_z
_atom_site_occupancy
Ti1 0.0000 0.0000 0.0000 1
Ti2 0.3333 0.6667 0.2648 1
I1 0.3333 0.6667 0.0652 1
Br1 0.0000 0.0000 0.2064 1
Br2 0.0000 0.0000 0.3232 1

***

[5]
# TiI3Br PBE relaxed
# Energy relative to the lowest polymorph listed for this composition = 1759 meV/atom
# Calculated volume = 208.92 Å³ per cell
# Formation energy without anion corrections = 435 kJ/mol of formula units
# Final energy = -1.9417 eV per atom
data_TiI3Br
_chemical_formula_sum 'Ti1 I3 Br1'
_symmetry_space_group_name_H-M 'P m -3 m'
_symmetry_Int_Tables_number 221
_symmetry_space_group_name_Hall '-P 4 2 3'
_cell_length_a 5.934
_cell_length_b 5.934
_cell_length_c 5.934
_cell_angle_alpha 90.00
_cell_angle_beta 90.00
_cell_angle_gamma 90.00
loop_
_atom_site_label
_atom_site_fract_x
_atom_site_fract_y
_atom_site_fract_z
_atom_site_occupancy
Ti1 0.000 0.000 0.000 1
I1 0.000 0.500 0.500 1
Br1 0.500 0.500 0.500 1

***

[6]
# Ti2IBr4 PBE relaxed
# Calculated volume = 1629.02 Å³ per cell
# Formation energy without anion corrections = -635 kJ/mol of formula units
# Final energy = -4.3737 eV per atom
data_Ti2IBr4
_chemical_formula_sum 'Ti16 I8 Br32'
_symmetry_space_group_name_H-M 'F d d 2'
_symmetry_Int_Tables_number 43
_symmetry_space_group_name_Hall 'F 2 -2d'
_cell_length_a 12.764
_cell_length_b 18.194
_cell_length_c 7.015
_cell_angle_alpha 90.00
_cell_angle_beta 90.00
_cell_angle_gamma 90.00
loop_
_atom_site_label
_atom_site_fract_x
_atom_site_fract_y
_atom_site_fract_z
_atom_site_occupancy
Ti1 0.100 0.176 0.000 1
I1 0.000 0.000 0.544 1
Br1 0.029 0.301 0.161 1
Br2 0.059 0.404 0.570 1

***

[7]
# TiIBr PBE relaxed
# Energy relative to the lowest polymorph listed for this composition = 153 meV/atom
# Calculated volume = 213.34 Å³ per cell
# Formation energy without anion corrections = -193 kJ/mol of formula units
# Final energy = -4.3744 eV per atom
data_TiIBr
_chemical_formula_sum 'Ti2 I2 Br2'
_symmetry_space_group_name_H-M 'P 1'
_symmetry_Int_Tables_number 1
_cell_length_a 5.992
_cell_length_b 5.993
_cell_length_c 7.048
_cell_angle_alpha 112.12
_cell_angle_beta 112.05
_cell_angle_gamma 91.26
loop_
_symmetry_equiv_pos_as_xyz
'x,y,z'
loop_
_atom_site_label
_atom_site_fract_x
_atom_site_fract_y
_atom_site_fract_z
_atom_site_occupancy
Ti1 0.000 0.000 0.000 1
Ti2 0.134 0.133 0.749 1
I1 0.137 0.623 0.735 1
I2 0.624 0.136 0.735 1
Br1 0.349 0.349 0.187 1
Br2 0.919 0.917 0.307 1

***

[8]
# TiTl2I5Br PBE relaxed
# Calculated volume = 747.02 Å³ per cell
# Formation energy without anion corrections = -627 kJ/mol of formula units
# Final energy = -3.1725 eV per atom
data_TiTl2I5Br
_chemical_formula_sum 'Ti2 Tl4 I10 Br2'
_symmetry_space_group_name_H-M 'I 4 m m'
_symmetry_Int_Tables_number 107
_symmetry_space_group_name_Hall 'I 4 -2'
_cell_length_a 8.105
_cell_length_b 8.105
_cell_length_c 11.373
_cell_angle_alpha 90.00
_cell_angle_beta 90.00
_cell_angle_gamma 90.00
loop_
_atom_site_label
_atom_site_fract_x
_atom_site_fract_y
_atom_site_fract_z
_atom_site_occupancy
Ti1 0.000 0.000 0.000 1
Tl1 0.000 0.500 0.184 1
I1 0.000 0.000 0.241 1
I2 0.243 0.243 0.004 1
Br1 0.000 0.000 0.783 1